Material: ZrReNi
Method: DFT, PBEsol
State: relaxed

As for the density of states at the Fermi level: 19.41 states/eV per cell. The formation energy comes out at 0.7728 eV/atom. For the total energy, the calculation gives -8.754 eV per atom.

The structure belongs to space group F-43m (No. 216); the cell edges are 6.010, 6.010 and 6.010 Å and the angles 90.00°, 90.00° and 90.00°. The distinct sites, in fractional coordinates, are Zr at (0.000, 0.000, 0.000), Re at (0.250, 0.250, 0.250) and Ni at (0.000, 0.000, 0.500).